Sr3AgBr7 | PBE-GGA | relaxed

a = 8.9688 Å, b = 8.9688 Å, c = 10.0112 Å
α = 90.00°, β = 90.00°, γ = 107.49°
Fractional coordinates of all 22 atoms:
Sr 0.5497 0.0020 0.2500
Sr 0.9980 0.4503 0.2500
Sr 0.4503 0.9980 0.7500
Sr 0.5007 0.5007 0.0000
Sr 0.4993 0.4993 0.5000
Sr 0.0020 0.5497 0.7500
Br 0.6449 0.8921 0.5283
Br 0.6368 0.3632 0.7500
Br 0.6354 0.3646 0.2500
Br 0.3551 0.1079 0.0283
Br 0.9169 0.0831 0.2500
Br 0.8921 0.6450 0.0283
Br 0.3646 0.6354 0.7500
Br 0.0831 0.9169 0.7500
Br 0.1079 0.3551 0.9717
Br 0.3550 0.1079 0.4717
Br 0.6450 0.8921 0.9717
Br 0.8921 0.6449 0.4717
Br 0.1079 0.3550 0.5283
Br 0.3632 0.6368 0.2500
Ag 0.0010 0.0010 0.0000
Ag 0.9990 0.9990 0.5000

Results
* mass density: 4.0 Mg/m³
* formation energy from raw total energies: -1.75 eV per atom
* space-group type: No. 20

SrAgBr2 | PBE-GGA | relaxed

a = 4.4682 Å, b = 4.4649 Å, c = 6.0564 Å
α = 90.00°, β = 90.00°, γ = 90.00°
Fractional coordinates of all 4 atoms:
Br 0.5000 0.5000 0.2972
Br 0.0000 0.0000 0.9477
Sr 0.0000 0.0000 0.4542
Ag 0.5000 0.5000 0.8009

Results
* mass density: 4.9 Mg/m³
* formation energy from raw total energies: -0.98 eV per atom
* space-group type: No. 99

SrAgBr2 | PBE-GGA | relaxed

a = 10.3813 Å, b = 10.3813 Å, c = 10.3813 Å
α = 24.40°, β = 24.40°, γ = 24.40°
Fractional coordinates of all 4 atoms:
Sr 0.5000 0.5000 0.5000
Br 0.1107 0.1107 0.1107
Br 0.8893 0.8893 0.8893
Ag 0.0000 0.0000 0.0000

Results
* mass density: 3.5 Mg/m³
* formation energy from raw total energies: -1.06 eV per atom
* space-group type: No. 166

Let's list D(E_F) in order: 0.000 0.535 0.228 states/eV/atom.
Let's list magnetic moment in order: 0.000 0.000 0.000 μB/cell.